*a*
Compound: CePm3
Source: the Alexandria database
Functional: PBE-GGA
Structure: relaxed

Cell: 3.6217 11.7674 6.3355 Å, 90.00 90.00 90.00°
Space group Imm2 (No. 44)
One atom of each set of equivalent atoms:
Ce1 0.0000 0.0000 0.0000 (multiplicity 2)
Pm1 0.0000 0.2514 0.3316 (multiplicity 4)
Pm2 0.0000 0.5000 0.0032 (multiplicity 2)

Properties
Mass density (kg/m3): 7074

=====

*b*
Compound: CePm3
Source: the Alexandria database
Functional: PBE-GGA
Structure: relaxed

Cell: 5.1095 5.1095 5.1095 Å, 90.00 90.00 90.00°
Space group Pm-3m (No. 221)
One atom of each set of equivalent atoms:
Ce1 0.0000 0.0000 0.0000 (multiplicity 1)
Pm1 0.0000 0.5000 0.5000 (multiplicity 3)

Properties
Mass density (kg/m3): 7159

=====

Least stable of them? *a*.

=====

*a*
Compound: CePm7Pr12
Source: the Alexandria database
Functional: PBE-GGA
Structure: relaxed

Cell: 16.2656 16.2656 9.3229 Å, 90.00 90.00 120.00°
Space group R-3 (No. 148, hexagonal axes)
One atom of each set of equivalent atoms:
Ce1 0.0000 0.0000 0.0000 (multiplicity 3)
Pm1 0.0000 0.0000 0.5000 (multiplicity 3)
Pm2 0.0147 0.8572 0.6994 (multiplicity 18)
Pr1 0.0286 0.7620 0.3447 (multiplicity 18)
Pr2 0.0706 0.5053 0.6603 (multiplicity 18)

Properties
Mass density (kg/m3): 6637

=====

*b*
Compound: CePm7Pr12
Source: the Alexandria database
Functional: PBE-GGA
Structure: relaxed

Cell: 7.0542 9.5569 11.7867 Å, 109.70 104.47 94.02°
Space group P-1 (No. 2)
One atom of each set of equivalent atoms:
Ce1 0.0000 0.0000 0.0000 (multiplicity 1)
Pm1 0.1130 0.1259 0.7869 (multiplicity 2)
Pm2 0.1450 0.7405 0.7042 (multiplicity 2)
Pm3 0.3487 0.1641 0.3025 (multiplicity 2)
Pm4 0.5000 0.0000 0.0000 (multiplicity 1)
Pr1 0.0668 0.5360 0.8844 (multiplicity 2)
Pr2 0.2077 0.3451 0.6040 (multiplicity 2)
Pr3 0.2520 0.9531 0.5053 (multiplicity 2)
Pr4 0.2962 0.5612 0.4085 (multiplicity 2)
Pr5 0.3716 0.7735 0.1894 (multiplicity 2)
Pr6 0.4165 0.3791 0.0956 (multiplicity 2)

Properties
Mass density (kg/m3): 6620

=====

Least stable of them? *a*.